<1>
Density functional theory data (GGA+U) for crystalline Al2TlWO at its relaxed geometry.

Results
For the density of states at the Fermi level, the calculation gives 2.92 states/eV per cell.

Cell lengths 5.1065, 5.1065, 5.5737 Å; angles 90.00, 90.00, 90.00 degrees
With the nearest neighbours (Å) after each atom.
Space group P4/mmm (No. 123)
Inequivalent atoms, fractional coordinates:
Al 0.0000 0.5000 0.0000 [2 per cell]  2 W 2.55
Tl 0.0000 0.0000 0.5000 [1 per cell]  2 W 2.79
W 0.0000 0.0000 0.0000 [1 per cell]  4 Al 2.55, 2 Tl 2.79
O 0.5000 0.5000 0.5000 [1 per cell]  4 Tl 3.61, 8 Al 3.78

***

<2>
Density functional theory data (GGA+U) for crystalline Al2TlWO at its relaxed geometry.

Results
For the density of states at the Fermi level, the calculation gives 2.36 states/eV per cell.

Cell lengths 5.0797, 5.0797, 5.6136 Å; angles 90.00, 90.00, 90.00 degrees
With the nearest neighbours (Å) after each atom.
Space group P4/mmm (No. 123)
Inequivalent atoms, fractional coordinates:
Al 0.0000 0.5000 0.0000 [2 per cell]  2 Tl 2.54
Tl 0.0000 0.0000 0.0000 [1 per cell]  4 Al 2.54, 2 W 2.81
W 0.0000 0.0000 0.5000 [1 per cell]  2 Tl 2.81
O 0.5000 0.5000 0.5000 [1 per cell]  4 W 3.59, 8 Al 3.79

***

Sorted by energy, starting with the most stable: <1>, <2>.